HoPaF6 after structural relaxation, computed with PBE.

Unit cell a=5.7929 b=8.4949 c=5.8090 alpha=90.00 beta=100.21 gamma=90.00
Space group C2/m (No. 12)
One atom of each set of equivalent atoms:
Ho: 0.0000 0.0000 0.0000 x2
Pa: 0.0000 0.5000 0.5000 x2
F: 0.2141 0.1570 0.2566 x8
F: 0.2239 0.5000 0.2088 x4

Final energy: -6.82 eV/atom
ΔE_f (raw): -3654 meV/atom
DOS at the Fermi energy: 7.73 states/eV per cell
Density: 6.0 Mg/m³